Model P:
Computed, not measured: a geometry-optimized InHg2P structure at the PBE-GGA level of DFT.

Geometry as extended XYZ:
```
4
Lattice="3.443 0.011 0.000 -1.079 3.269 0.000 0.000 0.000 8.418" Properties=species:S:1:pos:R:3 pbc="T T T"
Hg 0.000 0.000 4.441
In 1.182 1.640 2.104
P 1.182 1.640 6.313
Hg 0.000 0.000 8.185
```

Results
Space-group type: Cmmm, No. 65
Total magnetic moment (μB per formula unit): 0.00

---

Model Q:
Computed, not measured: a geometry-optimized InHg2P structure at the PBE-GGA level of DFT.

Geometry as extended XYZ:
```
4
Lattice="-2.388 3.058 -1.285 -2.528 -3.216 -2.955 -3.922 -2.033 2.452" Properties=species:S:1:pos:R:3 pbc="T T T"
Hg -6.240 -5.077 -0.486
In -2.807 0.217 -0.768
P -6.032 -2.407 -1.020
Hg -3.436 -2.796 -0.269
```

Results
Space-group type: Cmmm, No. 65
Total magnetic moment (μB per formula unit): 0.00

---

Out of the structures above, which one is the most stable? Solution: model Q.